[1]
A plane-wave DFT calculation with PBE was carried out for a geometry-optimized Cs13Nb2In6As10 structure.

## Properties
**Total magnetic moment**: 0.0 μB/f.u.

abc: 9.894 9.815 14.172
angles: 84.13 80.95 65.73
Sites, in units of the cell vectors:
As: 0.875 0.514 0.343
As: 0.718 0.134 0.384
Cs: 0.500 0.500 0.000
Cs: 0.082 0.777 0.428
Cs: 0.847 0.590 0.883
In: 0.621 0.445 0.412
Cs: 0.258 0.320 0.407
As: 0.855 0.254 0.111
As: 0.496 0.870 0.841
Cs: 0.897 0.854 0.163
Cs: 0.918 0.223 0.572
In: 0.971 0.196 0.292
Cs: 0.742 0.680 0.593
As: 0.504 0.130 0.159
In: 0.270 0.443 0.827
Nb: 0.627 0.258 0.225
As: 0.145 0.746 0.889
In: 0.730 0.557 0.173
As: 0.282 0.866 0.616
In: 0.379 0.555 0.588
Cs: 0.318 0.918 0.090
Cs: 0.494 0.137 0.642
Cs: 0.153 0.410 0.117
As: 0.544 0.467 0.745
As: 0.125 0.486 0.657
In: 0.029 0.804 0.708
Cs: 0.506 0.863 0.358
Nb: 0.373 0.742 0.775
As: 0.456 0.533 0.255
Cs: 0.682 0.082 0.910
Cs: 0.103 0.146 0.837

***

[2]
A plane-wave DFT calculation with PBE was carried out for a geometry-optimized Cs12NbIn6As9 structure.

## Properties
**Total magnetic moment**: 0.0 μB/f.u.

abc: 9.731 9.796 25.640
angles: 86.86 87.18 63.37
Sites, in units of the cell vectors:
As: 0.048 0.026 0.842
Cs: 0.847 0.396 0.259
As: 0.952 0.974 0.158
As: 0.588 0.445 0.691
As: 0.196 0.378 0.865
As: 0.843 0.913 0.996
Cs: 0.000 0.500 0.000
Cs: 0.798 0.961 0.467
In: 0.055 0.657 0.158
As: 0.157 0.087 0.004
Cs: 0.619 0.215 0.821
Cs: 0.536 0.116 0.618
Cs: 0.243 0.695 0.935
Cs: 0.000 0.500 0.500
In: 0.920 0.120 0.941
As: 0.804 0.622 0.135
As: 0.703 0.820 0.724
Cs: 0.523 0.311 0.186
In: 0.477 0.767 0.666
As: 0.365 0.294 0.432
Cs: 0.202 0.039 0.533
As: 0.297 0.180 0.276
Cs: 0.715 0.869 0.250
As: 0.715 0.420 0.918
Cs: 0.477 0.689 0.814
In: 0.826 0.496 0.734
Cs: 0.757 0.305 0.065
Cs: 0.463 0.235 0.984
As: 0.790 0.245 0.554
In: 0.174 0.504 0.266
In: 0.296 0.061 0.896
As: 0.022 0.399 0.645
Cs: 0.826 0.767 0.867
As: 0.285 0.580 0.082
Cs: 0.663 0.442 0.433
As: 0.635 0.706 0.568
Cs: 0.174 0.233 0.133
In: 0.704 0.939 0.104
In: 0.874 0.726 0.625
Cs: 0.285 0.131 0.750
In: 0.126 0.274 0.375
Nb: 0.241 0.558 0.387
Nb: 0.759 0.442 0.613
Cs: 0.464 0.884 0.382
In: 0.523 0.233 0.334
Cs: 0.337 0.558 0.567
Cs: 0.381 0.785 0.179
As: 0.978 0.601 0.355
In: 0.945 0.343 0.842
As: 0.412 0.555 0.309
Cs: 0.153 0.604 0.741
Cs: 0.059 0.950 0.308
As: 0.210 0.755 0.446
Cs: 0.941 0.050 0.692
Cs: 0.537 0.765 0.016
In: 0.080 0.880 0.059

***

[3]
A plane-wave DFT calculation with PBE was carried out for a geometry-optimized CsIn2NiAs structure.

## Properties
**Total magnetic moment**: 0.0 μB/f.u.

abc: 5.215 5.215 4.968
angles: 90.00 90.00 90.00
Sites, in units of the cell vectors:
As: 0.000 0.000 0.500
Ni: 0.000 0.000 0.000
In: 0.500 0.000 0.000
In: 0.000 0.500 0.000
Cs: 0.500 0.500 0.500

***

Number 1: total DFT energy (no corrections) -3.498 eV/atom. Number 2: total DFT energy (no corrections) -3.265 eV/atom. Number 3: total DFT energy (no corrections) -3.309 eV/atom.